Below is crystalline Sr3AsN at its relaxed geometry, with properties calculated at the GGA-PBE level.

extended XYZ file:
```
5
Lattice="5.0004 0.0000 0.0000 0.0000 5.0004 0.0000 0.0000 0.0000 7.5921" Properties=species:S:1:pos:R:3 pbc="T T T"
Sr 0.0000 0.0000 6.0869
Sr 2.5002 0.0000 2.9546
Sr 0.0000 2.5002 2.9546
As 0.0000 0.0000 1.2871
N 2.5002 2.5002 3.9033
```

Crystal system: tetragonal
Relative energy among the computed polymorphs, meV per atom: 675

---

Below is crystalline Sr6AsN2 at its relaxed geometry, with properties calculated at the GGA-PBE level.

extended XYZ file:
```
9
Lattice="-0.5005 -4.5719 1.6161 -2.0337 0.1739 -7.4901 9.4045 -1.0787 -0.1393" Properties=species:S:1:pos:R:3 pbc="T T T"
Sr 5.2257 -4.7923 -4.5865
Sr 7.3783 -1.7921 -2.7848
Sr 1.6446 -0.6844 -1.4268
Sr 4.6790 -3.5062 -1.1175
Sr 2.1914 -1.9705 -4.8957
Sr -0.5079 -3.6846 -3.2284
As 4.7023 -0.5393 -0.0696
N 0.3793 -1.2379 -3.3845
N 6.4911 -4.2388 -2.6287
```

Crystal system: monoclinic

---

Number 1: uncorrected formation energy -22.3 kJ per mole of atoms. Number 2: uncorrected formation energy -53.7 kJ per mole of atoms.